Entry 1:
# La5SmPb3

La5SmPb3 after structural relaxation (PBE, the Alexandria database).

It has space group P6_3/mcm (No. 193), with a = 9.9306 Å, b = 9.9306 Å, c = 6.9333 Å, α = 90.00°, β = 90.00° and γ = 120.00°. Symmetry generates all atoms from La at (0.0000, 0.3321, 0.2500), La at (0.3333, 0.6667, 0.0000), Sm at (0.0000, 0.0000, 0.0000) and Pb at (0.0000, 0.3327, 0.7500).

The formation energy is -461 meV per atom.

Entry 2:
# Ce4Pr2Bi3H2

Ce4Pr2Bi3H2 after structural relaxation (PBE, the Alexandria database).

It has space group I4/mmm (No. 139), with a = 4.674 Å, b = 4.674 Å, c = 27.101 Å, α = 90.00°, β = 90.00° and γ = 90.00°. Symmetry generates all atoms from Ce at (0.000, 0.500, 0.085), Pr at (0.000, 0.000, 0.201), Bi at (0.000, 0.000, 0.324), Bi at (0.000, 0.000, 0.500) and H at (0.000, 0.000, 0.109).

The electronic total energy is -57.876 eV/f.u.

Entry 3:
# CdP2O2

CdP2O2 after structural relaxation (PBE, the Alexandria database).

It has space group P4/mmm (No. 123), with a = 4.013 Å, b = 4.013 Å, c = 5.278 Å, α = 90.00°, β = 90.00° and γ = 90.00°. Symmetry generates all atoms from Cd at (0.000, 0.000, 0.000), P at (0.000, 0.000, 0.500), P at (0.500, 0.500, 0.500) and O at (0.000, 0.500, 0.000).

The formation energy (no corrections) comes out at 18.89 kcal/mol of atoms.

Entry 4:
# K2TaTe4Pb

K2TaTe4Pb after structural relaxation (PBE, the Alexandria database).

It has space group I-4 (No. 82), with a = 8.859 Å, b = 8.859 Å, c = 8.629 Å, α = 90.00°, β = 90.00° and γ = 90.00°. Symmetry generates all atoms from K at (0.000, 0.000, 0.000), K at (0.000, 0.500, 0.250), Ta at (0.000, 0.500, 0.750), Te at (0.165, 0.310, 0.587) and Pb at (0.000, 0.000, 0.500).

The formation energy (no corrections) comes out at -11.19 kcal/mol of atoms.

Entry 5:
# CdOsBr2

CdOsBr2 after structural relaxation (PBE, the Alexandria database).

It has space group R-3m (No. 166, hexagonal axes), with a = 3.8078 Å, b = 3.8078 Å, c = 28.4405 Å, α = 90.00°, β = 90.00° and γ = 120.00°. Symmetry generates all atoms from Cd at (0.0000, 0.0000, 0.0000), Os at (0.0000, 0.0000, 0.5000) and Br at (0.0000, 0.0000, 0.2114).

The formation energy (no corrections) comes out at 9.64 kcal/mol of atoms.

Number 1: calculated density 8225 kg/m³. Number 2: calculated density 8253 kg/m³. Number 3: calculated density 4032 kg/m³. Number 4: calculated density 4790 kg/m³. Number 5: calculated density 6451 kg/m³.